Crystalline Sr3SiBr2 at its relaxed geometry, computed with PBE-GGA.

Properties
- Final energy: -3.56 eV per atom
- Space group: Fddd, No. 70
- ΔE_f (raw): -7.56 eV/f.u.

abc: 15.3024 14.5863 8.0317
angles: 79.40 69.54 31.06
Last column: nearest neighbours and their distance in Å.
Fractional positions:
Sr  0.0306  0.5391  0.1840  2 Si 3.05, 2 Br 3.36-3.40
Sr  0.0899  0.6601  0.6601  2 Si 3.06, 4 Br 3.30-3.40
Sr  0.1840  0.7462  0.0306  2 Si 3.05, 2 Br 3.36-3.40
Sr  0.2538  0.8160  0.4609  2 Si 3.05, 2 Br 3.36-3.40
Sr  0.3399  0.9101  0.9101  2 Si 3.06, 4 Br 3.30-3.40
Sr  0.4609  0.9694  0.2538  2 Si 3.05, 2 Br 3.36-3.40
Sr  0.5391  0.0306  0.7462  2 Si 3.05, 2 Br 3.36-3.40
Sr  0.6601  0.0899  0.0899  2 Si 3.06, 4 Br 3.30-3.40
Sr  0.7462  0.1840  0.5391  2 Si 3.05, 2 Br 3.36-3.40
Sr  0.8160  0.2538  0.9694  2 Si 3.05, 2 Br 3.36-3.40
Sr  0.9101  0.3399  0.3399  2 Si 3.06, 4 Br 3.30-3.40
Sr  0.9694  0.4609  0.8160  2 Si 3.05, 2 Br 3.36-3.40
Si  0.0411  0.0411  0.2089  6 Sr 3.05-3.06
Si  0.2089  0.2089  0.0411  6 Sr 3.05-3.06
Si  0.7911  0.7911  0.9589  6 Sr 3.05-3.06
Si  0.9589  0.9589  0.7911  6 Sr 3.05-3.06
Br  0.1300  0.1300  0.6200  6 Sr 3.30-3.44
Br  0.2978  0.2978  0.4522  6 Sr 3.36-3.53
Br  0.3800  0.3800  0.8700  6 Sr 3.30-3.44
Br  0.4522  0.4522  0.2978  6 Sr 3.36-3.53
Br  0.5478  0.5478  0.7022  6 Sr 3.36-3.53
Br  0.6200  0.6200  0.1300  6 Sr 3.30-3.44
Br  0.7022  0.7022  0.5478  6 Sr 3.36-3.53
Br  0.8700  0.8700  0.3800  6 Sr 3.30-3.44